Computed, not measured: a geometry-optimized NaPr9Si6S2O24 structure at the PBE-GGA level of DFT.

Calculated values
The uncorrected formation energy is -3087 meV/atom. The space-group type is No. 7.

Cell lengths 9.9618, 6.9598, 19.9277 Å; angles 90.00, 119.97, 90.00 degrees
With the nearest neighbours (Å) after each atom.
Positions (direct):
Na (0.0000, 0.2443, 0.0000)  6 O 2.51-2.53
Na (0.0000, 0.7557, 0.5000)  6 O 2.51-2.53
Pr (0.0017, 0.2447, 0.5007)  9 O 2.47-2.76
Pr (0.0017, 0.7553, 0.0007)  9 O 2.47-2.76
Pr (0.0855, 0.0073, 0.2093)  5 O 2.39-2.64
Pr (0.0855, 0.9927, 0.7093)  5 O 2.39-2.64
Pr (0.0956, 0.4987, 0.8402)  4 O 2.35-2.47
Pr (0.0956, 0.5013, 0.3402)  4 O 2.35-2.47
Pr (0.3219, 0.4990, 0.7078)  4 O 2.35-2.47
Pr (0.3219, 0.5010, 0.2078)  4 O 2.35-2.47
Pr (0.3346, 0.0043, 0.9584)  5 O 2.40-2.64
Pr (0.3346, 0.9957, 0.4584)  5 O 2.40-2.64
Pr (0.5828, 0.0029, 0.8338)  5 O 2.39-2.63
Pr (0.5828, 0.9971, 0.3338)  5 O 2.39-2.63
Pr (0.5870, 0.4959, 0.9536)  5 O 2.35-2.63
Pr (0.5870, 0.5041, 0.4536)  5 O 2.35-2.63
Pr (0.6664, 0.2484, 0.6671)  7 O 2.42-2.70
Pr (0.6664, 0.7516, 0.1671)  7 O 2.42-2.70
Pr (0.6695, 0.2544, 0.1676)  6 O 2.39-2.53
Pr (0.6695, 0.7456, 0.6676)  6 O 2.39-2.53
Si (0.3021, 0.4966, 0.5260)  4 O 1.64-1.65
Si (0.3021, 0.5034, 0.0260)  4 O 1.64-1.65
Si (0.3657, 0.0011, 0.1468)  4 O 1.62-1.67
Si (0.3657, 0.9989, 0.6468)  4 O 1.62-1.67
Si (0.7084, 0.0033, 0.5366)  4 O 1.62-1.67
Si (0.7084, 0.9967, 0.0366)  4 O 1.62-1.67
Si (0.7511, 0.4979, 0.3503)  4 O 1.64-1.65
Si (0.7511, 0.5021, 0.8503)  4 O 1.64-1.65
Si (0.9288, 0.0007, 0.3181)  4 O 1.62-1.67
Si (0.9288, 0.9993, 0.8181)  4 O 1.62-1.67
Si (0.9506, 0.4945, 0.6257)  4 O 1.64-1.65
Si (0.9506, 0.5055, 0.1257)  4 O 1.64-1.65
S (0.3272, 0.2422, 0.8290)  6 Pr 2.96-3.09, 6 O 3.14-3.29
S (0.3272, 0.7578, 0.3290)  6 Pr 2.96-3.09, 6 O 3.14-3.29
S (0.3411, 0.2499, 0.3386)  6 Pr 2.96-3.07, 6 O 3.16-3.30
S (0.3411, 0.7501, 0.8386)  6 Pr 2.96-3.07, 6 O 3.16-3.30
O (0.0125, 0.0036, 0.4116)  1 Si 1.62
O (0.0125, 0.9964, 0.9116)  1 Si 1.62
O (0.0599, 0.3000, 0.6480)  1 Si 1.65
O (0.0599, 0.7000, 0.1480)  1 Si 1.65
O (0.0760, 0.3302, 0.1664)  1 Si 1.64
O (0.0760, 0.6698, 0.6664)  1 Si 1.64
O (0.1788, 0.0034, 0.5950)  1 Si 1.62
O (0.1788, 0.9966, 0.0950)  1 Si 1.62
O (0.2039, 0.4971, 0.0718)  1 Si 1.64
O (0.2039, 0.5029, 0.5718)  1 Si 1.64
O (0.2381, 0.3017, 0.4714)  1 Si 1.65
O (0.2381, 0.6983, 0.9714)  1 Si 1.65
O (0.2579, 0.3283, 0.9633)  1 Si 1.64
O (0.2579, 0.6717, 0.4633)  1 Si 1.64
O (0.4340, 0.1882, 0.2060)  1 Si 1.66
O (0.4340, 0.8118, 0.7060)  1 Si 1.66
O (0.4402, 0.1920, 0.7022)  1 Si 1.66
O (0.4402, 0.8080, 0.2022)  1 Si 1.66
O (0.4610, 0.0096, 0.0979)  1 Si 1.67
O (0.4610, 0.9904, 0.5979)  1 Si 1.67
O (0.4892, 0.4976, 0.5877)  1 Si 1.64
O (0.4892, 0.5024, 0.0877)  1 Si 1.64
O (0.5924, 0.1863, 0.0120)  1 Si 1.66
O (0.5924, 0.8137, 0.5120)  1 Si 1.66
O (0.5955, 0.1941, 0.5183)  1 Si 1.66
O (0.5955, 0.8059, 0.0183)  1 Si 1.66
O (0.6741, 0.3236, 0.8732)  1 Si 1.64
O (0.6741, 0.6764, 0.3732)  1 Si 1.64
O (0.6861, 0.4970, 0.2566)  1 Si 1.64
O (0.6861, 0.5030, 0.7566)  1 Si 1.64
O (0.7025, 0.3056, 0.3820)  1 Si 1.65
O (0.7025, 0.6944, 0.8820)  1 Si 1.65
O (0.7356, 0.0023, 0.2706)  1 Si 1.67
O (0.7356, 0.9977, 0.7706)  1 Si 1.67
O (0.8065, 0.0057, 0.1331)  1 Si 1.67
O (0.8065, 0.9943, 0.6331)  1 Si 1.67
O (0.8117, 0.0082, 0.4948)  1 Si 1.62
O (0.8117, 0.9918, 0.9948)  1 Si 1.62
O (0.8275, 0.4947, 0.6578)  1 Si 1.64
O (0.8275, 0.5053, 0.1578)  1 Si 1.64
O (0.8590, 0.4973, 0.0309)  1 Si 1.64
O (0.8590, 0.5027, 0.5309)  1 Si 1.64
O (0.9410, 0.5004, 0.3989)  1 Si 1.64
O (0.9410, 0.4996, 0.8989)  1 Si 1.64
O (0.9705, 0.1901, 0.7822)  1 Si 1.66
O (0.9705, 0.8099, 0.2822)  1 Si 1.66
O (0.9724, 0.1908, 0.2823)  1 Si 1.66
O (0.9724, 0.8092, 0.7823)  1 Si 1.66


Computed, not measured: a geometry-optimized NaPr9Si6S2O24 structure at the PBE-GGA level of DFT.

Calculated values
The uncorrected formation energy is -3086 meV/atom. The space-group type is No. 143.

Cell lengths 9.9721, 9.9721, 6.9556 Å; angles 90.00, 90.00, 120.00 degrees
With the nearest neighbours (Å) after each atom.
Positions (direct):
Na (0.0000, 0.0000, 0.0000)  6 O 2.52-2.53
Pr (0.0000, 0.0000, 0.4885)  9 O 2.47-2.76
Pr (0.0841, 0.4185, 0.2421)  5 O 2.40-2.61
Pr (0.0949, 0.6807, 0.7481)  5 O 2.35-2.62
Pr (0.3193, 0.4142, 0.7481)  5 O 2.35-2.62
Pr (0.3344, 0.9159, 0.2421)  5 O 2.40-2.61
Pr (0.5815, 0.6656, 0.2421)  5 O 2.40-2.61
Pr (0.5858, 0.9051, 0.7481)  5 O 2.35-2.62
Pr (0.6667, 0.3333, 0.4935)  6 O 2.42-2.52
Pr (0.6667, 0.3333, 0.9904)  6 O 2.43-2.52
Si (0.3008, 0.0508, 0.7419)  4 O 1.64-1.65
Si (0.3648, 0.2924, 0.2451)  4 O 1.62-1.67
Si (0.7076, 0.0724, 0.2451)  4 O 1.62-1.67
Si (0.7500, 0.6992, 0.7419)  4 O 1.64-1.65
Si (0.9276, 0.6352, 0.2451)  4 O 1.62-1.67
Si (0.9492, 0.2500, 0.7419)  4 O 1.64-1.65
S (0.3333, 0.6667, 0.0067)  6 Pr 2.97-3.04, 6 O 3.13-3.25
S (0.3333, 0.6667, 0.4991)  6 Pr 3.00-3.06, 6 O 3.25-3.31
O (0.0103, 0.8219, 0.2499)  1 Si 1.62
O (0.0615, 0.2989, 0.5495)  1 Si 1.65
O (0.0718, 0.3270, 0.9205)  1 Si 1.64
O (0.1781, 0.1884, 0.2499)  1 Si 1.62
O (0.2028, 0.1425, 0.7440)  1 Si 1.64
O (0.2374, 0.9385, 0.5495)  1 Si 1.65
O (0.2552, 0.9282, 0.9205)  1 Si 1.64
O (0.4350, 0.4055, 0.0534)  1 Si 1.66
O (0.4375, 0.4085, 0.4343)  1 Si 1.66
O (0.4603, 0.1948, 0.2423)  1 Si 1.67
O (0.4878, 0.1739, 0.7409)  1 Si 1.64
O (0.5915, 0.0290, 0.4343)  1 Si 1.66
O (0.5945, 0.0295, 0.0534)  1 Si 1.66
O (0.6730, 0.7448, 0.9205)  1 Si 1.64
O (0.6861, 0.5122, 0.7409)  1 Si 1.64
O (0.7011, 0.7626, 0.5495)  1 Si 1.65
O (0.7345, 0.5397, 0.2423)  1 Si 1.67
O (0.8052, 0.2655, 0.2423)  1 Si 1.67
O (0.8116, 0.9897, 0.2499)  1 Si 1.62
O (0.8261, 0.3139, 0.7409)  1 Si 1.64
O (0.8575, 0.0603, 0.7440)  1 Si 1.64
O (0.9397, 0.7972, 0.7440)  1 Si 1.64
O (0.9710, 0.5625, 0.4343)  1 Si 1.66
O (0.9705, 0.5650, 0.0534)  1 Si 1.66


Computed, not measured: a geometry-optimized NaPr2SbO5 structure at the PBE-GGA level of DFT.

Calculated values
The uncorrected formation energy is -2193 meV/atom. The space-group type is No. 127.

Cell lengths 6.8975, 6.8975, 6.3148 Å; angles 90.00, 90.00, 90.00 degrees
With the nearest neighbours (Å) after each atom.
Positions (direct):
Na (0.0000, 0.0000, 0.0000)  10 O 3.12-3.16, 4 Sb 3.45
Na (0.5000, 0.5000, 0.0000)  10 O 3.12-3.16, 4 Sb 3.45
Pr (0.1769, 0.3231, 0.5000)  4 O 2.34-2.54
Pr (0.3231, 0.8231, 0.5000)  4 O 2.34-2.54
Pr (0.6769, 0.1769, 0.5000)  4 O 2.34-2.54
Pr (0.8231, 0.6769, 0.5000)  4 O 2.34-2.54
Sb (0.0000, 0.5000, 0.0000)  4 O 2.14
Sb (0.5000, 0.0000, 0.0000)  4 O 2.14
O (0.0000, 0.0000, 0.5000)  4 Pr 2.54
O (0.1415, 0.6415, 0.2581)  1 Sb 2.14, 1 Pr 2.34
O (0.1415, 0.6415, 0.7419)  1 Sb 2.14, 1 Pr 2.34
O (0.3585, 0.1415, 0.2581)  1 Sb 2.14, 1 Pr 2.34
O (0.3585, 0.1415, 0.7419)  1 Sb 2.14, 1 Pr 2.34
O (0.5000, 0.5000, 0.5000)  4 Pr 2.54
O (0.6415, 0.8585, 0.2581)  1 Sb 2.14, 1 Pr 2.34
O (0.6415, 0.8585, 0.7419)  1 Sb 2.14, 1 Pr 2.34
O (0.8585, 0.3585, 0.2581)  1 Sb 2.14, 1 Pr 2.34
O (0.8585, 0.3585, 0.7419)  1 Sb 2.14, 1 Pr 2.34


Computed, not measured: a geometry-optimized Na3Pr3SbO8 structure at the PBE-GGA level of DFT.

Calculated values
The uncorrected formation energy is -2318 meV/atom. The space-group type is No. 166.

Cell lengths 6.9700, 6.9700, 6.9700 Å; angles 61.48, 61.48, 61.48 degrees
With the nearest neighbours (Å) after each atom.
Positions (direct):
Na (0.0000, 0.5000, 0.5000)  6 O 2.57-2.60
Na (0.5000, 0.0000, 0.5000)  6 O 2.57-2.60
Na (0.5000, 0.5000, 0.0000)  6 O 2.57-2.60
Pr (0.0000, 0.0000, 0.5000)  6 O 2.39-2.46
Pr (0.0000, 0.5000, 0.0000)  6 O 2.39-2.46
Pr (0.5000, 0.0000, 0.0000)  6 O 2.39-2.46
Sb (0.5000, 0.5000, 0.5000)  6 O 2.15
O (0.2392, 0.2392, 0.2392)  3 Pr 2.39, 3 Na 2.60
O (0.2710, 0.7153, 0.7153)  1 Sb 2.15
O (0.2847, 0.2847, 0.7290)  1 Sb 2.15
O (0.2847, 0.7290, 0.2847)  1 Sb 2.15
O (0.7153, 0.2710, 0.7153)  1 Sb 2.15
O (0.7153, 0.7153, 0.2710)  1 Sb 2.15
O (0.7290, 0.2847, 0.2847)  1 Sb 2.15
O (0.7608, 0.7608, 0.7608)  3 Pr 2.39, 3 Na 2.60


Computed, not measured: a geometry-optimized Na4Pr3SbO8 structure at the PBE-GGA level of DFT.

Calculated values
The uncorrected formation energy is -2247 meV/atom. The space-group type is No. 166.

Cell lengths 7.0075, 7.0075, 7.0075 Å; angles 61.50, 61.50, 61.50 degrees
With the nearest neighbours (Å) after each atom.
Positions (direct):
Na (0.0000, 0.0000, 0.0000)  6 O 2.63
Na (0.0000, 0.5000, 0.5000)  6 O 2.59-2.62
Na (0.5000, 0.0000, 0.5000)  6 O 2.59-2.62
Na (0.5000, 0.5000, 0.0000)  6 O 2.59-2.62
Pr (0.0000, 0.0000, 0.5000)  6 O 2.41-2.43
Pr (0.0000, 0.5000, 0.0000)  6 O 2.41-2.43
Pr (0.5000, 0.0000, 0.0000)  6 O 2.41-2.43
Sb (0.5000, 0.5000, 0.5000)  6 O 2.38
O (0.2390, 0.2390, 0.2390)  3 Pr 2.41, 3 Na 2.62
O (0.2454, 0.7371, 0.7371)  1 Sb 2.38, 2 Pr 2.43, 3 Na 2.59-2.63
O (0.2629, 0.2629, 0.7546)  1 Sb 2.38, 2 Pr 2.43, 3 Na 2.59-2.63
O (0.2629, 0.7546, 0.2629)  1 Sb 2.38, 2 Pr 2.43, 3 Na 2.59-2.63
O (0.7371, 0.2454, 0.7371)  1 Sb 2.38, 2 Pr 2.43, 3 Na 2.59-2.63
O (0.7371, 0.7371, 0.2454)  1 Sb 2.38, 2 Pr 2.43, 3 Na 2.59-2.63
O (0.7546, 0.2629, 0.2629)  1 Sb 2.38, 2 Pr 2.43, 3 Na 2.59-2.63
O (0.7610, 0.7610, 0.7610)  3 Pr 2.41, 3 Na 2.62


Computed, not measured: a geometry-optimized NaSrPrSbO6 structure at the PBE-GGA level of DFT.

Calculated values
The uncorrected formation energy is -2084 meV/atom. The space-group type is No. 216.

Cell lengths 6.0941, 6.0941, 6.0941 Å; angles 60.00, 60.00, 60.00 degrees
With the nearest neighbours (Å) after each atom.
Positions (direct):
Na (0.0000, 0.0000, 0.0000)  12 O 3.05
Sr (0.5000, 0.5000, 0.5000)  12 O 3.05
Pr (0.2500, 0.2500, 0.2500)  6 O 2.32
Sb (0.7500, 0.7500, 0.7500)  6 O 1.99
O (0.5191, 0.5191, 0.9809)  1 Sb 1.99
O (0.5191, 0.9809, 0.5191)  1 Sb 1.99
O (0.5191, 0.9809, 0.9809)  1 Sb 1.99
O (0.9809, 0.5191, 0.5191)  1 Sb 1.99
O (0.9809, 0.5191, 0.9809)  1 Sb 1.99
O (0.9809, 0.9809, 0.5191)  1 Sb 1.99


Asked for total DFT energy (no corrections) across the records above, the calculation gives -667.52 -333.74 -119.05 -96.85 -99.36 -62.49 eV per cell in order.